This record from the Alexandria database describes crystalline Li6Co3Ni5O16 at its relaxed geometry. The functional is GGA+U.

## Properties
The total energy is -5.12 eV per atom.

a b c (Å): 10.1588 5.6198 9.3199
angles (deg): 90.00 93.56 90.00
Space group Cm (No. 8)
Symmetry-distinct sites (fractional):
Li1 0.0000 0.0000 0.0000 [2 per cell]
Li2 0.0592 0.2546 0.4994 [4 per cell]
Li3 0.2469 0.2646 0.0019 [4 per cell]
Li4 0.3132 0.0000 0.5066 [2 per cell]
Co1 0.2222 0.2511 0.2708 [4 per cell]
Co2 0.3234 0.0000 0.7686 [2 per cell]
Ni1 0.0725 0.2520 0.7694 [4 per cell]
Ni2 0.3201 0.5000 0.5453 [2 per cell]
Ni3 0.4701 0.5000 0.2702 [2 per cell]
Ni4 0.4935 0.0000 0.0380 [2 per cell]
O1 0.0017 0.0000 0.6514 [2 per cell]
O2 0.0684 0.2445 0.1521 [4 per cell]
O3 0.1384 0.5000 0.8914 [2 per cell]
O4 0.1484 0.0000 0.3798 [2 per cell]
O5 0.1584 0.5000 0.3869 [2 per cell]
O6 0.1664 0.0000 0.8762 [2 per cell]
O7 0.2434 0.2408 0.6576 [4 per cell]
O8 0.2956 0.5000 0.1603 [2 per cell]
O9 0.2978 0.0000 0.1725 [2 per cell]
O10 0.3757 0.2700 0.4029 [4 per cell]
O11 0.4095 0.2206 0.9031 [4 per cell]
O12 0.4793 0.0000 0.6605 [2 per cell]